First-principles (GGA+U) data for crystalline Cs2TlVF8 at its relaxed geometry, as listed in the Alexandria database.

Unit cell a=5.2642 b=5.2642 c=11.5476 alpha=90.00 beta=90.00 gamma=120.00
Fractional positions:
Cs (0.3333, 0.6667, 0.3039)
Cs (0.6667, 0.3333, 0.6961)
Tl (0.0000, 0.0000, 0.5000)
V (0.0000, 0.0000, 0.0000)
F (0.1597, 0.3193, 0.0930)
F (0.1597, 0.8403, 0.0930)
F (0.3193, 0.1597, 0.9070)
F (0.3333, 0.6667, 0.5746)
F (0.6667, 0.3333, 0.4254)
F (0.6807, 0.8403, 0.0930)
F (0.8403, 0.1597, 0.9070)
F (0.8403, 0.6807, 0.9070)

Summary:
Crystal system: trigonal
Calculated total energy, eV per atom: -4.61
DOS at the Fermi energy, states/eV/f.u.: 0.0

***

First-principles (GGA+U) data for crystalline CsTl2VF8 at its relaxed geometry, as listed in the Alexandria database.

Unit cell a=4.9925 b=6.4276 c=8.3688 alpha=90.17 beta=90.12 gamma=97.78
Fractional positions:
Cs (0.0000, 0.0000, 0.0000)
Tl (0.4994, 0.4991, 0.7628)
Tl (0.5006, 0.5009, 0.2372)
V (0.0000, 0.0000, 0.5000)
F (0.0986, 0.8251, 0.3440)
F (0.1033, 0.8272, 0.6553)
F (0.3318, 0.1526, 0.4986)
F (0.4565, 0.7208, 0.0001)
F (0.5435, 0.2792, 0.9999)
F (0.6682, 0.8474, 0.5014)
F (0.8967, 0.1728, 0.3447)
F (0.9014, 0.1749, 0.6560)

Summary:
Crystal system: triclinic
Calculated total energy, eV per atom: -4.69

***

First-principles (GGA+U) data for crystalline Cs2TlV3F12 at its relaxed geometry, as listed in the Alexandria database.

Unit cell a=7.8260 b=7.8260 c=7.8260 alpha=58.68 beta=58.68 gamma=58.68
Fractional positions:
Cs (0.1183, 0.1183, 0.1183)
Cs (0.8817, 0.8817, 0.8817)
Tl (0.5000, 0.5000, 0.5000)
V (0.0000, 0.5000, 0.5000)
V (0.5000, 0.0000, 0.5000)
V (0.5000, 0.5000, 0.0000)
F (0.0608, 0.6171, 0.6171)
F (0.2165, 0.2165, 0.5997)
F (0.2165, 0.5997, 0.2165)
F (0.3829, 0.3829, 0.9392)
F (0.3829, 0.9392, 0.3829)
F (0.4003, 0.7835, 0.7835)
F (0.5997, 0.2165, 0.2165)
F (0.6171, 0.0608, 0.6171)
F (0.6171, 0.6171, 0.0608)
F (0.7835, 0.4003, 0.7835)
F (0.7835, 0.7835, 0.4003)
F (0.9392, 0.3829, 0.3829)

Summary:
Crystal system: trigonal
Calculated total energy, eV per atom: -5.53
DOS at the Fermi energy, states/eV/f.u.: 0.0

***

First-principles (GGA+U) data for crystalline CsTlVF4 at its relaxed geometry, as listed in the Alexandria database.

Unit cell a=8.0687 b=8.0687 c=8.0687 alpha=149.22 beta=149.22 gamma=44.09
Fractional positions:
Cs (0.0000, 0.0000, 0.0000)
Tl (0.7084, 0.7084, 0.0000)
V (0.3416, 0.3416, 0.0000)
F (0.1999, 0.1999, 0.0000)
F (0.3388, 0.8388, 0.5000)
F (0.4831, 0.4831, 0.0000)
F (0.8388, 0.3388, 0.5000)

Summary:
Crystal system: tetragonal
Calculated total energy, eV per atom: -5.05

***

First-principles (GGA+U) data for crystalline CsTlVF6 at its relaxed geometry, as listed in the Alexandria database.

Unit cell a=6.1212 b=6.1212 c=5.2281 alpha=90.94 beta=90.94 gamma=61.47
Fractional positions:
Cs (0.0000, 0.0000, 0.0000)
Tl (0.3272, 0.3272, 0.5514)
V (0.6573, 0.6573, 0.3446)
F (0.3502, 0.7871, 0.5234)
F (0.5245, 0.9650, 0.1659)
F (0.5253, 0.5253, 0.1061)
F (0.7871, 0.3502, 0.5234)
F (0.7876, 0.7876, 0.5854)
F (0.9650, 0.5245, 0.1659)

Summary:
Crystal system: monoclinic
Calculated total energy, eV per atom: -5.07
DOS at the Fermi energy, states/eV/f.u.: 0.0

***

First-principles (GGA+U) data for crystalline Cs2Tl2VF6 at its relaxed geometry, as listed in the Alexandria database.

Unit cell a=7.0823 b=7.0823 c=6.4360 alpha=96.89 beta=96.89 gamma=118.76
Fractional positions:
Cs (0.1582, 0.8418, 0.0000)
Cs (0.8418, 0.1582, 0.0000)
Tl (0.3465, 0.6535, 0.5000)
Tl (0.6535, 0.3465, 0.5000)
V (0.5000, 0.5000, 0.0000)
F (0.2039, 0.4577, 0.8193)
F (0.3342, 0.3342, 0.2464)
F (0.4577, 0.2039, 0.8193)
F (0.5423, 0.7961, 0.1807)
F (0.6658, 0.6658, 0.7536)
F (0.7961, 0.5423, 0.1807)

Summary:
Crystal system: monoclinic
Calculated total energy, eV per atom: -4.61

***

First-principles (GGA+U) data for crystalline Cs2TlWF6 at its relaxed geometry, as listed in the Alexandria database.

Unit cell a=11.8161 b=11.8161 c=11.8161 alpha=34.31 beta=34.31 gamma=34.31
Fractional positions:
Cs (0.1289, 0.1289, 0.1289)
Cs (0.2664, 0.2664, 0.2664)
Cs (0.7336, 0.7336, 0.7336)
Cs (0.8711, 0.8711, 0.8711)
Tl (0.3983, 0.3983, 0.3983)
Tl (0.6017, 0.6017, 0.6017)
W (0.0000, 0.0000, 0.0000)
W (0.5000, 0.5000, 0.5000)
F (0.1663, 0.6154, 0.6154)
F (0.1756, 0.1756, 0.7694)
F (0.1756, 0.7694, 0.1756)
F (0.2306, 0.8244, 0.8244)
F (0.3846, 0.3846, 0.8337)
F (0.3846, 0.8337, 0.3846)
F (0.6154, 0.1663, 0.6154)
F (0.6154, 0.6154, 0.1663)
F (0.7694, 0.1756, 0.1756)
F (0.8244, 0.2306, 0.8244)
F (0.8244, 0.8244, 0.2306)
F (0.8337, 0.3846, 0.3846)

Summary:
Crystal system: trigonal
Calculated total energy, eV per atom: -4.79
DOS at the Fermi energy, states/eV/f.u.: 0.0